(1)
This record from Alexandria describes a relaxed structure of Ac2MgBiS6. The functional is GGA-PBE.

Cell: 6.888 7.521 9.835 Å, 90.00 89.28 90.00°
Positions (direct):
S  0.372  0.964  0.760
S  0.326  0.692  0.059
S  0.188  0.182  0.056
S  0.812  0.818  0.944
S  0.674  0.308  0.941
S  0.312  0.682  0.444
S  0.688  0.318  0.556
S  0.826  0.808  0.559
S  0.174  0.192  0.441
S  0.872  0.536  0.260
S  0.128  0.464  0.740
S  0.628  0.036  0.240
Ac  0.465  0.404  0.248
Ac  0.035  0.904  0.252
Ac  0.535  0.596  0.752
Ac  0.965  0.096  0.748
Mg  0.500  0.000  0.000
Mg  0.000  0.500  0.500
Bi  0.000  0.500  0.000
Bi  0.500  0.000  0.500

Calculated values
Fermi-level density of states (states/eV per cell): 11.12
Calculated density (g cm⁻³): 5.73
Electronic total energy (eV per cell): -104.58



(2)
This record from Alexandria describes a relaxed structure of AcMgBiSb. The functional is GGA-PBE.

Cell: 5.603 5.603 5.603 Å, 60.00 60.00 60.00°
Positions (direct):
Sb  0.250  0.250  0.250
Mg  0.000  0.000  0.000
Ac  0.500  0.500  0.500
Bi  0.750  0.750  0.750

Calculated values
Fermi-level density of states (states/eV per cell): 3.32
Calculated density (g cm⁻³): 7.77
Electronic total energy (eV per cell): -15.45